Record 1
VASP calculation (PBE-GGA) on crystalline TaCoPb at its relaxed geometry.

Geometry as POSCAR:
```
TaCoPb
1.0
6.032 0.009 -0.010
5.215 3.032 -0.003
0.817 0.214 3.015
Co Pb Ta
1 1 1
direct
0.024 0.024 0.976
0.343 0.343 0.657
0.633 0.633 0.367
```

Summary:
For the total DFT energy (no corrections), the calculation gives -21.796 eV per cell. The formation energy is 290 meV per atom. As for the space-group type: I4mm (107). The volume comes out at 18.335 Å³ per atom. The calculation puts the density of states at the Fermi level at 2.0 states/eV per cell.


Record 2
VASP calculation (PBE-GGA) on crystalline TaCoPb2 at its relaxed geometry.

Geometry as POSCAR:
```
TaCoPb2
1.0
-2.249 -0.233 2.237
0.607 -2.981 -0.929
5.820 -0.618 5.786
Co Pb Ta
1 2 1
direct
0.500 0.500 0.750
0.000 0.000 0.973
0.000 0.000 0.527
0.500 0.500 0.250
```

Summary:
For the total DFT energy (no corrections), the calculation gives -23.719 eV per cell. The calculation puts the energy relative to the lowest polymorph listed for this composition at 0.4576 eV/atom. The formation energy is 664 meV per atom. As for the space-group type: Cmmm (65). The volume comes out at 20.038 Å³ per atom. The calculation puts the density of states at the Fermi level at 2.0 states/eV per cell.


What is the total DFT energy (no corrections) in the first record? -21.796 eV per cell


Which value of total DFT energy (no corrections) does entry 1 give? -21.796 eV per cell


Number 1 is which compound? TaCoPb


What is the formula in the first record? TaCoPb